[1]
Compound: LiLaNCl
Source: Alexandria via LeMat-Bulk
Functional: PBE
Structure: optimized geometry

For the uncorrected formation energy, the calculation gives -6.02 eV per formula unit. As for the total magnetic moment: 0.00 μB/f.u. For the energy, the calculation gives -5.76 eV per atom. As for the mass density: 3.95 g/cm³. Its crystal system is trigonal.

Cell and atoms, written as POSCAR:
```
LiLaNCl
1.0
-1.475 -3.543 -0.193
-0.252 -2.152 3.174
-6.435 0.481 2.135
Li La N Cl
1 1 1 1
Direct
0.459 0.722 0.312 Li
0.931 0.193 0.895 La
0.560 0.823 0.008 N
0.734 0.997 0.487 Cl
```

[2]
Compound: Na2Ca2Hg
Source: Alexandria via LeMat-Bulk
Functional: PBE
Structure: optimized geometry

The value obtained for the polymorph energy (0 for the lowest one) is 0 meV per atom. As for the total magnetic moment: 0.00 μB/f.u. For the energy, the calculation gives -1.45 eV per atom. As for the mass density: 3.23 g/cm³. Its crystal system is tetragonal.

Cell and atoms, written as POSCAR:
```
Na2Ca2Hg
1.0
4.105 0.000 0.000
0.000 4.105 0.000
2.053 2.053 9.953
Na Ca Hg
2 2 1
Direct
0.750 0.250 0.500 Na
0.250 0.750 0.500 Na
0.413 0.413 0.173 Ca
0.587 0.587 0.827 Ca
0.000 0.000 0.000 Hg
```

[3]
Compound: CaPm8Y4
Source: Alexandria via LeMat-Bulk
Functional: PBE
Structure: optimized geometry

As for the total magnetic moment: 0.00 μB/f.u. For the energy, the calculation gives -5.03 eV per atom. As for the mass density: 5.82 g/cm³. Its crystal system is monoclinic.

Cell and atoms, written as POSCAR:
```
CaPm8Y4
1.0
-0.124 2.955 -4.226
-5.313 3.332 -0.662
-0.242 14.968 7.325
Ca Pm Y
1 8 4
Direct
0.516 0.002 0.967 Ca
0.054 0.540 0.352 Pm
0.438 0.923 0.201 Pm
0.593 0.081 0.733 Pm
0.978 0.463 0.582 Pm
0.749 0.227 0.276 Pm
0.209 0.695 0.886 Pm
0.283 0.777 0.658 Pm
0.822 0.308 0.048 Pm
0.363 0.844 0.429 Y
0.896 0.400 0.808 Y
0.136 0.603 0.126 Y
0.668 0.159 0.505 Y
```